TlGa2Cl8: relaxed, PBE.

Unit cell a=7.9883 b=7.9883 c=6.4640 alpha=97.60 beta=97.60 gamma=70.69
Last column: nearest neighbours and their distance in Å.
Atoms (fractional coordinates):
Tl1 0.0000 0.0000 0.0000  6 Cl 2.92
Ga1 0.2021 0.2021 0.6590  4 Cl 2.15-2.24
Ga2 0.7979 0.7979 0.3410  4 Cl 2.15-2.24
Cl1 0.0750 0.6966 0.2437  1 Ga 2.24
Cl2 0.1898 0.1898 0.3103  1 Ga 2.23
Cl3 0.3034 0.9250 0.7563  1 Ga 2.24
Cl4 0.3641 0.3641 0.7922  1 Ga 2.15
Cl5 0.6359 0.6359 0.2078  1 Ga 2.15
Cl6 0.6966 0.0750 0.2437  1 Ga 2.24
Cl7 0.8102 0.8102 0.6897  1 Ga 2.23
Cl8 0.9250 0.3034 0.7563  1 Ga 2.24

Output
**DFT total energy**: -3.1077 eV/atom
**Energy relative to the elements, uncorrected**: -1.00 eV/atom
**Total magnetic moment**: 0.00 μB/atom
**Fermi-level density of states**: 6.21 states/eV/f.u.

***

TaFeAg2: relaxed, PBE.

Unit cell a=4.4914 b=4.4914 c=4.4914 alpha=60.00 beta=60.00 gamma=60.00
Last column: nearest neighbours and their distance in Å.
Atoms (fractional coordinates):
Ta1 0.0000 0.0000 0.0000  8 Ag 2.75
Fe1 0.5000 0.5000 0.5000  8 Ag 2.75
Ag1 0.2500 0.2500 0.2500  4 Ta 2.75, 4 Fe 2.75
Ag2 0.7500 0.7500 0.7500  4 Ta 2.75, 4 Fe 2.75

Output
**Formation energy**: 0.79 eV/atom
**DFT total energy**: -5.7109 eV/atom
**Total magnetic moment**: 0.00 μB/atom
**Fermi-level density of states**: 6.95 states/eV/f.u.

***

| no. | density (g/cm3) |
| --- | --- |
| 1 | 2.71 |
| 2 | 11.73 |